1.
Entry from the Alexandria database: HfAl4Ga after structural relaxation (GGA-PBE).

Space group ... I4_1/amd (141)
Total DFT energy (no corrections) ... -4.271 eV per atom
Mass density ... 4.6 g cm⁻³
Magnetization ... 0.00 μB/f.u.
ΔH_f (0 K) ... 2.327 eV per formula unit
E above lowest polymorph ... 548 meV per atom

Lattice parameters (Å, degrees): 10.110 10.110 10.110 150.15 150.15 42.72
Atoms (fractional coordinates):
Hf1 0.375 0.625 0.750
Hf2 0.625 0.375 0.250
Al1 0.235 0.243 0.508
Al2 0.235 0.727 0.992
Al3 0.243 0.235 0.008
Al4 0.273 0.765 0.508
Al5 0.727 0.235 0.492
Al6 0.757 0.765 0.992
Al7 0.765 0.273 0.008
Al8 0.765 0.757 0.492
Ga1 0.125 0.875 0.250
Ga2 0.875 0.125 0.750



2.
Entry from the Alexandria database: Fe2HCl after structural relaxation (GGA-PBE).

Space group ... I-42d (122)
Total DFT energy (no corrections) ... -5.340 eV per atom
Mass density ... 4.8 g cm⁻³
Magnetization ... 6.00 μB/f.u.
E above lowest polymorph ... 0 meV per atom

Lattice parameters (Å, degrees): 4.621 4.621 9.515 90.00 90.00 90.00
Atoms (fractional coordinates):
Fe1 0.133 0.250 0.125
Fe2 0.250 0.633 0.375
Fe3 0.250 0.867 0.875
Fe4 0.367 0.250 0.625
Fe5 0.633 0.750 0.625
Fe6 0.750 0.133 0.875
Fe7 0.750 0.367 0.375
Fe8 0.867 0.750 0.125
H1 0.000 0.000 0.000
H2 0.000 0.500 0.250
H3 0.500 0.000 0.750
H4 0.500 0.500 0.500
Cl1 0.000 0.000 0.500
Cl2 0.000 0.500 0.750
Cl3 0.500 0.000 0.250
Cl4 0.500 0.500 0.000



3.
Entry from the Alexandria database: LuNpPd2 after structural relaxation (GGA-PBE).

Space group ... P4/mmm (123)
Total DFT energy (no corrections) ... -7.443 eV per atom
Mass density ... 12.4 g cm⁻³
Magnetization ... 4.21 μB/f.u.
ΔH_f (0 K) ... -1.923 eV per formula unit

Lattice parameters (Å, degrees): 5.032 5.032 3.300 90.00 90.00 90.00
Atoms (fractional coordinates):
Lu1 0.000 0.000 0.000
Np1 0.500 0.500 0.000
Pd1 0.000 0.500 0.500
Pd2 0.500 0.000 0.500



4.
Entry from the Alexandria database: CaAcPrHg after structural relaxation (GGA-PBE).

Space group ... P4mm (99)
Total DFT energy (no corrections) ... -3.039 eV per atom
Mass density ... 7.2 g cm⁻³
Magnetization ... 0.00 μB/f.u.
ΔH_f (0 K) ... -0.967 eV per formula unit
E above lowest polymorph ... 0 meV per atom

Lattice parameters (Å, degrees): 3.816 3.816 9.664 90.00 90.00 90.00
Atoms (fractional coordinates):
Ca1 0.000 0.000 0.000
Ac1 0.500 0.500 0.319
Pr1 0.000 0.000 0.601
Hg1 0.500 0.500 0.806



5.
Entry from the Alexandria database: Nd5Ho2Th2 after structural relaxation (GGA-PBE).

Space group ... P-1 (2)
Total DFT energy (no corrections) ... -5.200 eV per atom
Mass density ... 8.2 g cm⁻³
Magnetization ... 0.00 μB/f.u.
ΔH_f (0 K) ... 1.035 eV per formula unit

Lattice parameters (Å, degrees): 6.153 6.865 8.619 78.49 69.36 64.42
Atoms (fractional coordinates):
Nd1 0.000 0.000 0.000
Nd2 0.392 0.683 0.656
Nd3 0.494 0.868 0.239
Nd4 0.506 0.132 0.761
Nd5 0.608 0.317 0.344
Ho1 0.192 0.428 0.124
Ho2 0.808 0.572 0.876
Th1 0.040 0.233 0.548
Th2 0.960 0.767 0.452



6.
Entry from the Alexandria database: Ni2SbP after structural relaxation (GGA-PBE).

Space group ... Immm (71)
Formation energy without anion corrections ... 0.04 eV/atom
Total DFT energy (no corrections) ... -5.233 eV per atom
Mass density ... 7.1 g cm⁻³
Magnetization ... 0.00 μB/f.u.
E above lowest polymorph ... 353 meV per atom

Lattice parameters (Å, degrees): 3.740 5.186 6.485 90.00 90.00 90.00
Atoms (fractional coordinates):
Ni1 0.000 0.000 0.189
Ni2 0.000 0.000 0.811
Ni3 0.500 0.500 0.311
Ni4 0.500 0.500 0.689
Sb1 0.000 0.500 0.000
Sb2 0.500 0.000 0.500
P1 0.000 0.500 0.500
P2 0.500 0.000 0.000



7.
Entry from the Alexandria database: Na2MgPb9 after structural relaxation (GGA-PBE).

Space group ... P4/mmm (123)
Total DFT energy (no corrections) ... -3.215 eV per atom
Mass density ... 9.0 g cm⁻³
Magnetization ... 0.00 μB/f.u.
ΔH_f (0 K) ... -0.967 eV per formula unit

Lattice parameters (Å, degrees): 4.965 4.965 14.471 90.00 90.00 90.00
Atoms (fractional coordinates):
Na1 0.000 0.000 0.168
Na2 0.000 0.000 0.832
Mg1 0.000 0.000 0.500
Pb1 0.000 0.500 0.000
Pb2 0.000 0.500 0.339
Pb3 0.000 0.500 0.661
Pb4 0.500 0.000 0.000
Pb5 0.500 0.000 0.339
Pb6 0.500 0.000 0.661
Pb7 0.500 0.500 0.169
Pb8 0.500 0.500 0.500
Pb9 0.500 0.500 0.831



8.
Entry from the Alexandria database: SrSmTi4O12 after structural relaxation (GGA-PBE).

Space group ... P4/mmm (123)
Formation energy without anion corrections ... -2.68 eV/atom
Total DFT energy (no corrections) ... -8.100 eV per atom
Mass density ... 4.4 g cm⁻³
Magnetization ... 3.02 μB/f.u.

Lattice parameters (Å, degrees): 5.495 5.495 7.766 90.00 90.00 90.00
Atoms (fractional coordinates):
Sr1 0.000 0.000 0.000
Sm1 0.500 0.500 0.500
Ti1 0.000 0.500 0.249
Ti2 0.000 0.500 0.751
Ti3 0.500 0.000 0.249
Ti4 0.500 0.000 0.751
O1 0.000 0.500 0.000
O2 0.000 0.500 0.500
O3 0.256 0.256 0.261
O4 0.256 0.256 0.739
O5 0.256 0.744 0.261
O6 0.256 0.744 0.739
O7 0.500 0.000 0.000
O8 0.500 0.000 0.500
O9 0.744 0.256 0.261
O10 0.744 0.256 0.739
O11 0.744 0.744 0.261
O12 0.744 0.744 0.739



9.
Entry from the Alexandria database: Ac3CuSn2Pd6 after structural relaxation (GGA-PBE).

Space group ... P-3m1 (164)
Total DFT energy (no corrections) ... -5.300 eV per atom
Mass density ... 9.6 g cm⁻³
Magnetization ... 0.00 μB/f.u.
ΔH_f (0 K) ... -8.012 eV per formula unit

Lattice parameters (Å, degrees): 6.008 6.008 8.964 90.00 90.00 120.00
Atoms (fractional coordinates):
Ac1 0.000 0.000 0.000
Ac2 0.333 0.667 0.631
Ac3 0.667 0.333 0.369
Cu1 0.000 0.000 0.500
Sn1 0.333 0.667 0.047
Sn2 0.667 0.333 0.953
Pd1 0.171 0.343 0.295
Pd2 0.171 0.829 0.295
Pd3 0.343 0.171 0.705
Pd4 0.657 0.829 0.295
Pd5 0.829 0.171 0.705
Pd6 0.829 0.657 0.705



10.
Entry from the Alexandria database: Nb3GaO after structural relaxation (GGA-PBE).

Space group ... Pm-3m (221)
Formation energy without anion corrections ... -0.73 eV/atom
Total DFT energy (no corrections) ... -8.365 eV per atom
Mass density ... 7.9 g cm⁻³
Magnetization ... 0.00 μB/f.u.

Lattice parameters (Å, degrees): 4.254 4.254 4.254 90.00 90.00 90.00
Atoms (fractional coordinates):
Nb1 0.000 0.000 0.500
Nb2 0.000 0.500 0.000
Nb3 0.500 0.000 0.000
Ga1 0.500 0.500 0.500
O1 0.000 0.000 0.000



11.
Entry from the Alexandria database: Y2MgW after structural relaxation (GGA-PBE).

Space group ... Cmm2 (35)
Total DFT energy (no corrections) ... -6.404 eV per atom
Mass density ... 6.7 g cm⁻³
Magnetization ... 0.00 μB/f.u.
ΔH_f (0 K) ... 1.859 eV per formula unit

Lattice parameters (Å, degrees): 4.256 4.457 10.031 90.00 90.00 90.00
Atoms (fractional coordinates):
Y1 0.000 0.000 0.000
Y2 0.000 0.500 0.310
Y3 0.500 0.000 0.310
Y4 0.500 0.500 0.000
Mg1 0.000 0.000 0.571
Mg2 0.500 0.500 0.571
W1 0.000 0.500 0.774
W2 0.500 0.000 0.774



12.
Entry from the Alexandria database: Cs2SbI2 after structural relaxation (GGA-PBE).

Space group ... P4/mbm (127)
Formation energy without anion corrections ... -0.73 eV/atom
Total DFT energy (no corrections) ... -2.517 eV per atom
Mass density ... 4.5 g cm⁻³
Magnetization ... 0.00 μB/f.u.
E above lowest polymorph ... 20 meV per atom

Lattice parameters (Å, degrees): 9.156 9.156 5.667 90.00 90.00 90.00
Atoms (fractional coordinates):
Cs1 0.156 0.344 0.000
Cs2 0.344 0.844 0.000
Cs3 0.656 0.156 0.000
Cs4 0.844 0.656 0.000
Sb1 0.000 0.000 0.500
Sb2 0.500 0.500 0.500
I1 0.166 0.666 0.500
I2 0.334 0.166 0.500
I3 0.666 0.834 0.500
I4 0.834 0.334 0.500